6
Lattice="-2.135 1.553 -4.560 -5.232 -0.071 -0.619 -2.686 4.527 -0.245" Properties=species:S:1:pos:R:3 comment="CaLaCu4 GGA-PBEsol relaxed" space_group="No. 216" total_energy_ev_per_atom=-4.20 magnetic_moment_mub_per_cell=0.0 formation_energy_kj_per_mol_atoms=-6.0 pbc="T T T"
Cu -6.410 2.204 -2.338
Cu -3.748 2.240 -2.022
Cu -4.834 3.030 -4.343
Cu -5.114 4.543 -2.147
Ca 0.000 0.000 0.000
La -7.540 4.506 -4.069